Record 1
# TiInAg | Alexandria via LeMat-Bulk | PBE | optimized geometry
# * M_tot: 3.785 μB per cell
# * DOS(E_F): 8.5 states/eV per cell
data_TiInAg
_chemical_formula_sum 'Ti4 In4 Ag4'
_cell_length_a 4.2256
_cell_length_b 13.0707
_cell_length_c 4.1219
_cell_angle_alpha 90.00
_cell_angle_beta 90.00
_cell_angle_gamma 90.00
_symmetry_space_group_name_H-M 'C m m m'
_symmetry_Int_Tables_number 65
_symmetry_space_group_name_Hall '-C 2 2'
loop_
_atom_site_label
_atom_site_fract_x
_atom_site_fract_y
_atom_site_fract_z
Ti1 0.0000 0.0000 0.0000
Ti2 0.0000 0.5000 0.5000
In1 0.0000 0.1628 0.5000
Ag1 0.0000 0.3390 0.0000

Record 2
# KTl2Au | Alexandria via LeMat-Bulk | PBE | optimized geometry
# * M_tot: 0.000 μB per cell
# * DOS(E_F): 5.1 states/eV per cell
data_KTl2Au
_chemical_formula_sum 'K2 Tl4 Au2'
_cell_length_a 12.5499
_cell_length_b 3.7359
_cell_length_c 5.8500
_cell_angle_alpha 90.00
_cell_angle_beta 117.44
_cell_angle_gamma 90.00
_symmetry_space_group_name_H-M 'C 1 2/m 1'
_symmetry_Int_Tables_number 12
loop_
_symmetry_equiv_pos_as_xyz
'x,y,z'
'-x,-y,-z'
'-x,y,-z'
'x,-y,z'
'x+1/2,y+1/2,z'
'-x+1/2,-y+1/2,-z'
'-x+1/2,y+1/2,-z'
'x+1/2,-y+1/2,z'
loop_
_atom_site_label
_atom_site_fract_x
_atom_site_fract_y
_atom_site_fract_z
K1 0.0000 0.0000 0.0000
Tl1 0.2066 0.0000 0.7061
Au1 0.0000 0.5000 0.5000

Record 3
# HfZr4N6 | Alexandria via LeMat-Bulk | PBE | optimized geometry
# * M_tot: 0.000 μB per cell
# * DOS(E_F): 11.1 states/eV per cell
# * raw formation energy: -17.25 eV per formula unit
data_HfZr4N6
_chemical_formula_sum 'Hf4 Zr16 N24'
_cell_length_a 3.1508
_cell_length_b 10.6869
_cell_length_c 16.2158
_cell_angle_alpha 90.00
_cell_angle_beta 90.00
_cell_angle_gamma 90.00
_symmetry_space_group_name_H-M 'C m c m'
_symmetry_Int_Tables_number 63
_symmetry_space_group_name_Hall '-C 2c 2'
loop_
_atom_site_label
_atom_site_fract_x
_atom_site_fract_y
_atom_site_fract_z
Hf1 0.0000 0.1463 0.2500
Zr1 0.0000 0.1027 0.6382
Zr2 0.0000 0.3652 0.5467
N1 0.0000 0.0000 0.0000
N2 0.0000 0.2099 0.7500
N3 0.0000 0.2706 0.0864
N4 0.0000 0.4561 0.6686

Record 4
# SrLiMg | Alexandria via LeMat-Bulk | PBE | optimized geometry
# * M_tot: 0.000 μB per cell
# * DOS(E_F): 10.1 states/eV per cell
data_SrLiMg
_chemical_formula_sum 'Sr4 Li4 Mg4'
_cell_length_a 8.7426
_cell_length_b 5.0424
_cell_length_c 9.0221
_cell_angle_alpha 90.00
_cell_angle_beta 90.06
_cell_angle_gamma 90.00
_symmetry_space_group_name_H-M 'C 1 2/m 1'
_symmetry_Int_Tables_number 12
loop_
_symmetry_equiv_pos_as_xyz
'x,y,z'
'-x,-y,-z'
'-x,y,-z'
'x,-y,z'
'x+1/2,y+1/2,z'
'-x+1/2,-y+1/2,-z'
'-x+1/2,y+1/2,-z'
'x+1/2,-y+1/2,z'
loop_
_atom_site_label
_atom_site_fract_x
_atom_site_fract_y
_atom_site_fract_z
Sr1 0.1666 0.0000 0.1659
Li1 0.0000 0.5000 0.3607
Mg1 0.1666 0.0000 0.5647

Record 5
# La6Ru2Pt | Alexandria via LeMat-Bulk | PBE | optimized geometry
# * M_tot: 0.000 μB per cell
# * DOS(E_F): 38.2 states/eV per cell
data_La6Ru2Pt
_chemical_formula_sum 'La24 Ru8 Pt4'
_cell_length_a 15.7239
_cell_length_b 10.7727
_cell_length_c 6.4701
_cell_angle_alpha 90.00
_cell_angle_beta 109.08
_cell_angle_gamma 90.00
_symmetry_space_group_name_H-M 'C 1 2/c 1'
_symmetry_Int_Tables_number 15
loop_
_symmetry_equiv_pos_as_xyz
'x,y,z'
'-x,-y,-z'
'-x,y,-z+1/2'
'x,-y,z+1/2'
'x+1/2,y+1/2,z'
'-x+1/2,-y+1/2,-z'
'-x+1/2,y+1/2,-z+1/2'
'x+1/2,-y+1/2,z+1/2'
loop_
_atom_site_label
_atom_site_fract_x
_atom_site_fract_y
_atom_site_fract_z
La1 0.1030 0.0760 0.1371
La2 0.1036 0.4255 0.1409
La3 0.1779 0.2496 0.6985
Ru1 0.2495 0.0105 0.9987
Pt1 0.0000 0.2530 0.7500

Record 6
# Zr2Zn3Cu | Alexandria via LeMat-Bulk | PBE | optimized geometry
# * M_tot: 0.000 μB per cell
# * DOS(E_F): 4.6 states/eV per cell
data_Zr2Zn3Cu
_chemical_formula_sum 'Zr2 Zn3 Cu1'
_cell_length_a 3.1347
_cell_length_b 4.3409
_cell_length_c 7.5036
_cell_angle_alpha 90.00
_cell_angle_beta 90.00
_cell_angle_gamma 90.00
_symmetry_space_group_name_H-M 'P m m 2'
_symmetry_Int_Tables_number 25
loop_
_symmetry_equiv_pos_as_xyz
'x,y,z'
'-x,-y,z'
'-x,y,z'
'x,-y,z'
loop_
_atom_site_label
_atom_site_fract_x
_atom_site_fract_y
_atom_site_fract_z
Zr1 0.0000 0.0000 0.0000
Zr2 0.0000 0.5000 0.4826
Zn1 0.5000 0.0000 0.6568
Zn2 0.5000 0.5000 0.1573
Zn3 0.5000 0.5000 0.8226
Cu1 0.5000 0.0000 0.3246

no.,DFT total energy (eV/atom)
1,-4.53
2,-2.43
3,-10.12
4,-1.70
5,-6.43
6,-4.41